# 1
Entry from the Alexandria database: crystalline Cs2BiPbCl6 at its relaxed geometry (PBE-GGA).

a b c (Å): 8.054 8.054 8.084
angles (deg): 60.12 60.12 90.00
Fractional coordinates of all 10 atoms:
Pb: 0.500 0.500 0.000
Cs: 0.750 0.250 0.500
Cs: 0.250 0.750 0.500
Bi: 0.000 0.000 0.000
Cl: 0.247 0.247 0.506
Cl: 0.753 0.753 0.494
Cl: 0.246 0.246 0.000
Cl: 0.754 0.754 0.000
Cl: 0.754 0.246 0.000
Cl: 0.246 0.754 0.000

Summary:
Density in g/cm³: 3.99
Formation energy without anion corrections in eV per atom: -1.341
Density of states at the Fermi level in states/eV/cell: 5.105

# 2
Entry from the Alexandria database: crystalline CsBiPdCl6 at its relaxed geometry (PBE-GGA).

a b c (Å): 6.928 6.928 7.796
angles (deg): 90.00 90.00 60.00
Each line ends with the local moment (μB).
Fractional coordinates of all 9 atoms:
Cs: 0.000 0.000 0.000  0.01
Bi: 0.333 0.333 0.500  0.00
Pd: 0.667 0.667 0.500  1.19
Cl: 0.980 0.384 0.307  0.10
Cl: 0.383 0.980 0.693  0.10
Cl: 0.637 0.384 0.693  0.10
Cl: 0.980 0.637 0.693  0.10
Cl: 0.384 0.637 0.307  0.10
Cl: 0.637 0.980 0.307  0.10

Summary:
Density in g/cm³: 3.39
Formation energy without anion corrections in eV per atom: -1.014

# 3
Entry from the Alexandria database: crystalline CsRb2BiCl at its relaxed geometry (PBE-GGA).

a b c (Å): 6.277 6.277 6.599
angles (deg): 90.00 90.00 90.00
Each line ends with the local moment (μB).
Fractional coordinates of all 5 atoms:
Cs: 0.000 0.000 0.500  0.01
Bi: 0.500 0.500 0.500  0.54
Rb: 0.000 0.500 0.000  0.00
Rb: 0.500 0.000 0.000  0.00
Cl: 0.000 0.000 0.000  0.00

Summary:
Density in g/cm³: 3.50
Formation energy without anion corrections in eV per atom: -0.833
Density of states at the Fermi level in states/eV/cell: 4.137

# 4
Entry from the Alexandria database: crystalline CsBiS2Cl at its relaxed geometry (PBE-GGA).

a b c (Å): 5.308 5.308 5.706
angles (deg): 90.00 90.00 90.00
Fractional coordinates of all 5 atoms:
Cs: 0.500 0.500 0.500
S: 0.000 0.500 0.000
S: 0.500 0.000 0.000
Bi: 0.000 0.000 0.000
Cl: 0.000 0.000 0.500

Summary:
Density in g/cm³: 4.56
Formation energy without anion corrections in eV per atom: -0.670
Offset from the most stable computed form in meV/atom: 0
Density of states at the Fermi level in states/eV/cell: 1.845

# 5
Entry from the Alexandria database: crystalline CsBiSCl2 at its relaxed geometry (PBE-GGA).

a b c (Å): 6.043 6.043 5.488
angles (deg): 90.00 90.00 90.00
Fractional coordinates of all 5 atoms:
Cs: 0.000 0.000 0.000
S: 0.000 0.000 0.500
Bi: 0.500 0.500 0.500
Cl: 0.000 0.500 0.000
Cl: 0.500 0.000 0.000

Summary:
Density in g/cm³: 3.69
Formation energy without anion corrections in eV per atom: 0.330
Offset from the most stable computed form in meV/atom: 1391
Density of states at the Fermi level in states/eV/cell: 4.916

# 6
Entry from the Alexandria database: crystalline CsBiS2Cl at its relaxed geometry (PBE-GGA).

a b c (Å): 5.448 5.448 5.948
angles (deg): 90.00 90.00 90.00
Each line ends with the local moment (μB).
Fractional coordinates of all 5 atoms:
Cs: 0.000 0.000 0.000  0.00
S: 0.000 0.500 0.000  -0.05
S: 0.500 0.000 0.000  -0.05
Bi: 0.500 0.500 0.500  0.77
Cl: 0.000 0.000 0.500  0.01

Summary:
Density in g/cm³: 4.15
Formation energy without anion corrections in eV per atom: 0.735
Offset from the most stable computed form in meV/atom: 1405
Density of states at the Fermi level in states/eV/cell: 2.073

no.,energy (eV/f.u.)
1,-33.79
2,-30.13
3,-12.68
4,-18.19
5,-10.90
6,-11.16